## La3NbTl (PBE-GGA)

Data for a geometry-optimized La3NbTl structure.

Properties
The symmetry is Pm-3m (221).

Cell: 5.5897 5.5897 5.5897 Å, 90.00 90.00 90.00°
Closest atoms and distances in Å follow each position.
Fractional positions:
La 0.0000 0.0000 0.5000  2 Nb 2.79
La 0.0000 0.5000 0.0000  2 Nb 2.79
La 0.5000 0.0000 0.0000  2 Nb 2.79
Nb 0.0000 0.0000 0.0000  6 La 2.79
Tl 0.5000 0.5000 0.5000  12 La 3.95

=====

## ZrTi4Nb (PBE-GGA)

Data for a geometry-optimized ZrTi4Nb structure.

Properties
The symmetry is F-43m (216).

Cell: 5.3943 5.3943 5.3943 Å, 60.00 60.00 60.00°
Closest atoms and distances in Å follow each position.
Fractional positions:
Zr 0.0000 0.0000 0.0000  12 Ti 3.16, 4 Nb 3.30
Ti 0.1262 0.6246 0.6246  6 Ti 2.69-2.71
Ti 0.6246 0.1262 0.6246  6 Ti 2.69-2.71
Ti 0.6246 0.6246 0.1262  6 Ti 2.69-2.71
Ti 0.6246 0.6246 0.6246  6 Ti 2.69-2.71
Nb 0.2500 0.2500 0.2500  12 Ti 3.16, 4 Zr 3.30

=====

no.,energy relative to the lowest polymorph listed for this composition (meV/atom),energy of formation (eV/atom),ρ (g/cm3)
1,0,0.223,6.79
2,59,0.194,5.62